The following is a PBE calculation of a relaxed structure of CdRe2, from Alexandria via LeMat-Bulk.

Properties
As for the formation energy: 1.046 eV/atom. The total magnetization comes out at 0.000 Bohr magnetons per cell. The polymorph energy (0 for the lowest one) comes out at 0.785 eV/atom. The electronic total energy comes out at -7.5581 eV per atom. The calculation puts the density of states at the Fermi level at 3.90 states/eV/cell.

Unit cell a=5.2044 b=5.2044 c=5.2044 alpha=103.08 beta=103.08 gamma=123.19
Atoms (fractional coordinates):
1 Cd 0.2500 0.2500 0.0000
2 Cd 0.7500 0.7500 0.0000
3 Re 0.6287 0.8713 0.5000
4 Re 0.1287 0.6287 0.7574
5 Re 0.8713 0.3713 0.2426
6 Re 0.3713 0.1287 0.5000